Record 1
The following is a GGA-PBE calculation of an optimized crystal structure of Pm6Ir2Se3I, from the Alexandria database.

Summary:
As for the formation energy without anion corrections: -1.285 eV per atom. As for the space group: C2/m (12).

a b c (Å): 4.140 8.836 9.552
angles (deg): 104.19 102.52 90.00
Fractional coordinates of all 12 atoms:
Se (0.500, 0.500, 0.000)
Pm (0.985, 0.715, 0.971)
Ir (0.830, 0.659, 0.660)
Pm (0.681, 0.125, 0.362)
Ir (0.170, 0.341, 0.340)
Pm (0.015, 0.285, 0.029)
Pm (0.672, 0.576, 0.345)
Pm (0.328, 0.424, 0.655)
I (0.500, 0.000, 0.000)
Se (0.156, 0.844, 0.311)
Pm (0.319, 0.875, 0.638)
Se (0.844, 0.156, 0.689)

---

Record 2
The following is a GGA-PBE calculation of an optimized crystal structure of PuZr3Sc2N6, from the Alexandria database.

Summary:
As for the formation energy without anion corrections: -1.717 eV per atom. As for the space group: C2/m (12).

a b c (Å): 3.276 6.571 7.324
angles (deg): 103.17 102.92 90.00
Last column: magnetic moment on the atom in μB.
Fractional coordinates of all 12 atoms:
Zr (0.831, 0.169, 0.662)  0.04
Zr (0.500, 0.500, 0.000)  0.04
N (0.999, 0.740, 0.998)  -0.08
Sc (0.170, 0.338, 0.339)  0.02
Zr (0.169, 0.831, 0.338)  0.04
N (0.001, 0.260, 0.002)  -0.08
N (0.332, 0.418, 0.664)  0.01
Pu (0.500, 0.000, 0.000)  4.45
N (0.668, 0.582, 0.336)  0.01
Sc (0.830, 0.662, 0.661)  0.02
N (0.330, 0.915, 0.660)  -0.04
N (0.670, 0.085, 0.340)  -0.04

---

Record 3
The following is a GGA-PBE calculation of an optimized crystal structure of Na2Tl15Pb2, from the Alexandria database.

Summary:
The energy of formation from the pure elements is 1.073 eV/f.u. As for the space group: R-3m (166).

a b c (Å): 8.717 8.717 8.717
angles (deg): 76.58 76.58 76.58
Fractional coordinates of all 19 atoms:
Pb (0.698, 0.698, 0.698)
Tl (0.000, 0.296, 0.704)
Tl (0.500, 0.000, 0.000)
Tl (0.386, 0.849, 0.386)
Tl (0.000, 0.704, 0.296)
Tl (0.000, 0.500, 0.000)
Tl (0.614, 0.614, 0.151)
Tl (0.614, 0.151, 0.614)
Tl (0.704, 0.000, 0.296)
Tl (0.151, 0.614, 0.614)
Tl (0.704, 0.296, 0.000)
Na (0.898, 0.898, 0.898)
Pb (0.302, 0.302, 0.302)
Na (0.102, 0.102, 0.102)
Tl (0.386, 0.386, 0.849)
Tl (0.000, 0.000, 0.500)
Tl (0.296, 0.000, 0.704)
Tl (0.849, 0.386, 0.386)
Tl (0.296, 0.704, 0.000)

---

Record 4
The following is a GGA-PBE calculation of an optimized crystal structure of Ca2PbW, from the Alexandria database.

Summary:
The energy of formation from the pure elements is 2.900 eV/f.u. As for the space group: C2/m (12).

a b c (Å): 5.396 5.396 6.461
angles (deg): 83.68 83.68 33.57
Last column: magnetic moment on the atom in μB.
Fractional coordinates of all 4 atoms:
Ca (0.998, 0.998, 0.012)  0.02
Ca (0.502, 0.502, 0.488)  0.02
W (0.250, 0.250, 0.250)  0.87
Pb (0.750, 0.750, 0.750)  0.00

---

Record 5
The following is a GGA-PBE calculation of an optimized crystal structure of HoErTmCu, from the Alexandria database.

Summary:
The energy of formation from the pure elements is -0.437 eV/f.u. As for the space group: P4mm (99).

a b c (Å): 3.445 3.445 8.609
angles (deg): 90.00 90.00 90.00
Fractional coordinates of all 4 atoms:
Er (0.500, 0.500, 0.770)
Ho (0.000, 0.000, 0.072)
Cu (0.000, 0.000, 0.569)
Tm (0.500, 0.500, 0.373)

---

Record 6
The following is a GGA-PBE calculation of an optimized crystal structure of MgCu2Pd2, from the Alexandria database.

Summary:
The energy of formation from the pure elements is -0.818 eV/f.u. As for the distance to the lowest polymorph of the same formula: 151 meV/atom. As for the space group: I4/mmm (139).

a b c (Å): 3.434 3.434 7.090
angles (deg): 75.99 75.99 90.00
Fractional coordinates of all 5 atoms:
Mg (0.000, 0.000, 0.000)
Cu (0.750, 0.250, 0.500)
Pd (0.397, 0.397, 0.205)
Cu (0.250, 0.750, 0.500)
Pd (0.603, 0.603, 0.795)

---

Record 7
The following is a GGA-PBE calculation of an optimized crystal structure of CaBe2TeO6, from the Alexandria database.

Summary:
As for the formation energy without anion corrections: -2.076 eV per atom. As for the space group: C2/c (15).

a b c (Å): 5.849 6.560 6.560
angles (deg): 86.16 74.35 74.35
Fractional coordinates of all 20 atoms:
O (0.598, 0.210, 0.624)
Be (0.351, 0.775, 0.627)
Te (0.250, 0.289, 0.711)
O (0.316, 0.279, 0.396)
O (0.799, 0.004, 0.245)
Be (0.851, 0.627, 0.775)
O (0.201, 0.996, 0.755)
O (0.701, 0.755, 0.996)
Ca (0.250, 0.899, 0.101)
Te (0.750, 0.711, 0.289)
O (0.299, 0.245, 0.004)
O (0.184, 0.604, 0.721)
O (0.902, 0.376, 0.790)
O (0.402, 0.790, 0.376)
Be (0.149, 0.373, 0.225)
Be (0.649, 0.225, 0.373)
O (0.816, 0.396, 0.279)
O (0.684, 0.721, 0.604)
O (0.098, 0.624, 0.210)
Ca (0.750, 0.101, 0.899)

---

Record 8
The following is a GGA-PBE calculation of an optimized crystal structure of BePbSe2, from the Alexandria database.

Summary:
As for the formation energy without anion corrections: 0.337 eV per atom. As for the distance to the lowest polymorph of the same formula: 862 meV/atom. As for the space group: P4/mmm (123).

a b c (Å): 4.971 4.971 3.592
angles (deg): 90.00 90.00 90.06
Fractional coordinates of all 4 atoms:
Se (0.500, 0.500, 0.000)
Pb (0.000, 0.500, 0.500)
Be (0.500, 0.000, 0.500)
Se (0.000, 0.000, 0.000)

---

Record 9
The following is a GGA-PBE calculation of an optimized crystal structure of PuAl7Zn5, from the Alexandria database.

Summary:
The energy of formation from the pure elements is -1.198 eV/f.u. As for the space group: Imm2 (44).

a b c (Å): 5.236 6.956 6.956
angles (deg): 81.36 67.89 67.89
Last column: magnetic moment on the atom in μB.
Fractional coordinates of all 13 atoms:
Al (0.353, 0.647, 0.647)  -0.01
Zn (0.713, 0.787, 0.787)  0.00
Al (0.501, 0.211, 0.788)  0.00
Al (0.286, 0.214, 0.214)  0.00
Zn (0.501, 0.502, 0.997)  -0.01
Zn (0.000, 0.997, 0.502)  -0.01
Al (0.001, 0.647, 0.350)  -0.01
Al (0.647, 0.353, 0.353)  -0.01
Pu (0.995, 0.005, 0.005)  5.35
Al (0.501, 0.788, 0.211)  0.00
Zn (0.000, 0.502, 0.997)  -0.01
Zn (0.501, 0.997, 0.502)  -0.01
Al (0.001, 0.350, 0.647)  -0.01

---

Record 10
The following is a GGA-PBE calculation of an optimized crystal structure of TmTh6Tc3, from the Alexandria database.

Summary:
The energy of formation from the pure elements is -0.284 eV/f.u. As for the space group: Cmc2_1 (36).

a b c (Å): 6.937 8.770 8.770
angles (deg): 92.72 90.00 90.00
Fractional coordinates of all 20 atoms:
Th (0.581, 0.317, 0.683)
Th (0.820, 0.472, 0.992)
Th (0.596, 0.720, 0.718)
Th (0.096, 0.718, 0.720)
Th (0.596, 0.282, 0.280)
Th (0.820, 0.008, 0.528)
Tm (0.104, 0.304, 0.696)
Th (0.832, 0.062, 0.938)
Th (0.096, 0.280, 0.282)
Tc (0.339, 0.504, 0.496)
Tc (0.839, 0.496, 0.504)
Th (0.332, 0.938, 0.062)
Th (0.081, 0.683, 0.317)
Th (0.320, 0.992, 0.472)
Tc (0.400, 0.010, 0.758)
Tc (0.900, 0.990, 0.242)
Tm (0.604, 0.696, 0.304)
Tc (0.400, 0.242, 0.990)
Th (0.320, 0.528, 0.008)
Tc (0.900, 0.758, 0.010)

---

Record 11
The following is a GGA-PBE calculation of an optimized crystal structure of DyHo2OsO8, from the Alexandria database.

Summary:
As for the formation energy without anion corrections: -2.552 eV per atom. As for the space group: Cmmm (65).

a b c (Å): 5.024 5.023 6.751
angles (deg): 90.00 90.00 90.36
Last column: magnetic moment on the atom in μB.
Fractional coordinates of all 12 atoms:
Ho (0.500, 0.500, 0.254)  0.03
O (0.184, 0.816, 0.790)  0.06
Os (0.000, 0.000, 0.000)  0.70
O (0.308, 0.309, 0.500)  0.00
O (0.692, 0.691, 0.500)  0.00
O (0.735, 0.735, 0.000)  -0.01
Ho (0.500, 0.500, 0.746)  0.03
O (0.184, 0.816, 0.210)  0.06
O (0.816, 0.184, 0.210)  0.06
Dy (0.000, 0.000, 0.500)  0.04
O (0.816, 0.184, 0.790)  0.06
O (0.265, 0.265, 0.000)  -0.01

---

Record 12
The following is a GGA-PBE calculation of an optimized crystal structure of MnFeSn4, from the Alexandria database.

Summary:
The energy of formation from the pure elements is 0.076 eV/f.u. As for the space group: I422 (97).

a b c (Å): 5.381 5.381 5.381
angles (deg): 104.43 104.43 120.10
Last column: magnetic moment on the atom in μB.
Fractional coordinates of all 6 atoms:
Sn (0.913, 0.413, 0.825)  -0.09
Sn (0.413, 0.587, 0.500)  -0.09
Fe (0.000, 0.000, 0.000)  1.79
Mn (0.500, 0.500, 0.000)  2.54
Sn (0.087, 0.913, 0.500)  -0.09
Sn (0.587, 0.087, 0.175)  -0.09

---

Number 1: N(E_F) 0.51 states/eV/atom. Number 2: N(E_F) 0.65 states/eV/atom. Number 3: N(E_F) 0.41 states/eV/atom. Number 4: N(E_F) 0.93 states/eV/atom. Number 5: N(E_F) 1.27 states/eV/atom. Number 6: N(E_F) 0.37 states/eV/atom. Number 7: N(E_F) 0.00 states/eV/atom. Number 8: N(E_F) 0.48 states/eV/atom. Number 9: N(E_F) 0.58 states/eV/atom. Number 10: N(E_F) 1.03 states/eV/atom. Number 11: N(E_F) 0.21 states/eV/atom. Number 12: N(E_F) 0.55 states/eV/atom.